The following is a DFT calculation (PBE-GGA) of a geometry-optimized YCrFe structure.

```
data_YCrFe
_chemical_formula_sum 'Y1 Cr1 Fe1'
_cell_length_a 5.873
_cell_length_b 5.873
_cell_length_c 5.873
_cell_angle_alpha 149.91
_cell_angle_beta 149.91
_cell_angle_gamma 43.07
_symmetry_space_group_name_H-M 'P 1'
_symmetry_Int_Tables_number 1
loop_
_symmetry_equiv_pos_as_xyz
'x,y,z'
loop_
_atom_site_label
_atom_site_fract_x
_atom_site_fract_y
_atom_site_fract_z
Y1 0.668 0.668 0.000
Fe1 0.374 0.374 0.000
Cr1 0.958 0.958 0.000
```

- Relative energy among the computed polymorphs: 13.1 kJ/mol of atoms
- Magnetization: 0.13 μB per formula unit
- Calculated total energy: -7.87 eV/atom
- Formation energy: 30.1 kJ/mol of atoms


The following is a DFT calculation (PBE-GGA) of a geometry-optimized Ac8LaEr2 structure.

```
data_Ac8LaEr2
_chemical_formula_sum 'Ac8 La1 Er2'
_cell_length_a 5.561
_cell_length_b 8.698
_cell_length_c 11.548
_cell_angle_alpha 121.38
_cell_angle_beta 103.93
_cell_angle_gamma 90.00
_symmetry_space_group_name_H-M 'P 1'
_symmetry_Int_Tables_number 1
loop_
_symmetry_equiv_pos_as_xyz
'x,y,z'
loop_
_atom_site_label
_atom_site_fract_x
_atom_site_fract_y
_atom_site_fract_z
La1 0.500 0.000 0.000
Er1 0.773 0.178 0.545
Ac1 0.048 0.366 0.096
Ac2 0.596 0.734 0.191
Ac3 0.683 0.447 0.365
Ac4 0.404 0.266 0.809
Ac5 0.317 0.553 0.635
Ac6 0.952 0.634 0.904
Ac7 0.140 0.085 0.281
Ac8 0.860 0.915 0.719
Er2 0.227 0.822 0.455
```

- Magnetization: 0.00 μB per formula unit
- Calculated total energy: -4.22 eV/atom
- Formation energy: 4.5 kJ/mol of atoms


The following is a DFT calculation (PBE-GGA) of a geometry-optimized K2NiTe structure.

```
data_K2NiTe
_chemical_formula_sum 'K2 Ni1 Te1'
_cell_length_a 3.577
_cell_length_b 3.577
_cell_length_c 9.636
_cell_angle_alpha 90.00
_cell_angle_beta 90.00
_cell_angle_gamma 90.00
_symmetry_space_group_name_H-M 'P 1'
_symmetry_Int_Tables_number 1
loop_
_symmetry_equiv_pos_as_xyz
'x,y,z'
loop_
_atom_site_label
_atom_site_fract_x
_atom_site_fract_y
_atom_site_fract_z
Te1 0.500 0.500 0.750
Ni1 0.500 0.500 0.250
K1 0.000 0.000 0.015
K2 0.000 0.000 0.485
```

- Magnetization: 0.68 μB per formula unit
- Calculated total energy: -2.59 eV/atom
- E_form (uncorrected): 18.5 kJ/mol of atoms


The following is a DFT calculation (PBE-GGA) of a geometry-optimized CrOs2W structure.

```
data_CrOs2W
_chemical_formula_sum 'Cr1 Os2 W1'
_cell_length_a 4.187
_cell_length_b 2.706
_cell_length_c 5.281
_cell_angle_alpha 73.89
_cell_angle_beta 90.00
_cell_angle_gamma 90.00
_symmetry_space_group_name_H-M 'P 1'
_symmetry_Int_Tables_number 1
loop_
_symmetry_equiv_pos_as_xyz
'x,y,z'
loop_
_atom_site_label
_atom_site_fract_x
_atom_site_fract_y
_atom_site_fract_z
W1 0.500 0.250 0.250
Cr1 0.500 0.750 0.750
Os1 0.000 0.894 0.984
Os2 0.000 0.606 0.516
```

- Relative energy among the computed polymorphs: 10.7 kJ/mol of atoms
- Magnetization: 0.00 μB per formula unit
- Calculated total energy: -11.06 eV/atom
- Formation energy: 19.5 kJ/mol of atoms


The following is a DFT calculation (PBE-GGA) of a geometry-optimized In3SnBi2 structure.

```
data_In3SnBi2
_chemical_formula_sum 'In6 Sn2 Bi4'
_cell_length_a 8.907
_cell_length_b 7.539
_cell_length_c 8.494
_cell_angle_alpha 116.35
_cell_angle_beta 121.62
_cell_angle_gamma 90.00
_symmetry_space_group_name_H-M 'P 1'
_symmetry_Int_Tables_number 1
loop_
_symmetry_equiv_pos_as_xyz
'x,y,z'
loop_
_atom_site_label
_atom_site_fract_x
_atom_site_fract_y
_atom_site_fract_z
In1 0.500 0.250 0.000
Bi1 0.838 0.145 0.291
Sn1 0.000 0.500 0.000
In2 0.798 0.048 0.595
In3 0.202 0.952 0.405
Bi2 0.453 0.645 0.291
Sn2 0.000 0.000 0.000
In4 0.798 0.548 0.595
Bi3 0.162 0.855 0.709
Bi4 0.547 0.355 0.709
In5 0.202 0.452 0.405
In6 0.500 0.750 0.000
```

- Relative energy among the computed polymorphs: 4.7 kJ/mol of atoms
- Magnetization: 0.00 μB per formula unit
- Calculated total energy: -3.23 eV/atom
- Formation energy: 10.0 kJ/mol of atoms


The following is a DFT calculation (PBE-GGA) of a geometry-optimized Th2PdPb structure.

```
data_Th2PdPb
_chemical_formula_sum 'Th2 Pd1 Pb1'
_cell_length_a 4.523
_cell_length_b 4.842
_cell_length_c 4.842
_cell_angle_alpha 90.00
_cell_angle_beta 90.00
_cell_angle_gamma 90.00
_symmetry_space_group_name_H-M 'P 1'
_symmetry_Int_Tables_number 1
loop_
_symmetry_equiv_pos_as_xyz
'x,y,z'
loop_
_atom_site_label
_atom_site_fract_x
_atom_site_fract_y
_atom_site_fract_z
Pd1 0.500 0.500 0.500
Pb1 0.500 0.000 0.000
Th1 0.000 0.000 0.500
Th2 0.000 0.500 0.000
```

- Relative energy among the computed polymorphs: 10.1 kJ/mol of atoms
- Magnetization: 0.00 μB per formula unit
- Calculated total energy: -6.30 eV/atom
- Formation energy: -34.8 kJ/mol of atoms